{
  "formula": "Tb5Er4Mg",
  "functional": "PBE",
  "state": "optimized geometry",
  "sg": "P4/mmm",
  "e_form_mev_per_atom": 0,
  "relative_energy_ev_per_fu": 0.00,
  "total_magnetization_mub_per_fu": 0.0,
  "rho_g_cm3": 8.10,
  "lattice": [[-3.260, 1.269, 0.566], [-1.099, -1.470, -3.032], [-5.835, -20.322, 11.967]],
  "species": ["Tb", "Tb", "Tb", "Tb", "Tb", "Er", "Er", "Er", "Er", "Mg"],
  "frac_coords": [[0.500, 0.500, 0.500], [0.500, 0.500, 0.295], [0.500, 0.500, 0.909], [0.500, 0.500, 0.705], [0.500, 0.500, 0.091], [0.000, 0.000, 0.398], [0.000, 0.000, 0.192], [0.000, 0.000, 0.602], [0.000, 0.000, 0.808], [0.000, 0.000, 0.000]]
}